The following is a GGA-PBE calculation of an optimized crystal structure of NaSrPrIn, from Alexandria via LeMat-Bulk.

As for the energy of formation from the pure elements: -0.1627 eV per atom.

extended XYZ file:
```
4
Lattice="0.000 4.058 4.058 4.058 0.000 4.058 4.058 4.058 0.000" Properties=species:S:1:pos:R:3 pbc="T T T"
Na 0.000 0.000 0.000
Sr 6.087 6.087 6.087
Pr 2.029 2.029 2.029
In 4.058 4.058 4.058
```


The following is a GGA-PBE calculation of an optimized crystal structure of NaTbPrIn, from Alexandria via LeMat-Bulk.

As for the energy of formation from the pure elements: -0.1458 eV per atom.

extended XYZ file:
```
4
Lattice="0.000 3.891 3.891 3.891 0.000 3.891 3.891 3.891 0.000" Properties=species:S:1:pos:R:3 pbc="T T T"
Na 0.000 0.000 0.000
Tb 5.837 5.837 5.837
Pr 1.946 1.946 1.946
In 3.891 3.891 3.891
```


The following is a GGA-PBE calculation of an optimized crystal structure of NaPrInTe3, from Alexandria via LeMat-Bulk.

The calculation puts the raw formation energy at -0.875 eV/atom.

extended XYZ file:
```
12
Lattice="9.020 0.000 0.000 0.000 4.585 0.000 -3.916 0.000 12.347" Properties=species:S:1:pos:R:3 pbc="T T T"
Na 1.110 1.146 1.521
Na 3.994 3.439 10.826
Pr -0.457 3.439 10.756
Pr 5.561 1.146 1.591
In -2.121 1.146 7.623
In 7.225 3.439 4.724
Te -2.746 1.146 10.539
Te -0.220 3.439 7.491
Te 3.344 3.439 1.602
Te 1.760 1.146 10.746
Te 5.324 1.146 4.856
Te 7.850 3.439 1.808
```


The following is a GGA-PBE calculation of an optimized crystal structure of Na2PrInTe4, from Alexandria via LeMat-Bulk.

The calculation puts the raw formation energy at -0.896 eV/atom.

extended XYZ file:
```
16
Lattice="-4.415 4.606 6.448 4.415 -4.606 6.448 4.415 4.606 -6.448" Properties=species:S:1:pos:R:3 pbc="T T T"
Na 0.000 0.000 0.000
Na -2.208 2.303 3.224
Na 0.000 4.606 0.000
Na 2.208 2.303 3.224
Pr 4.415 0.000 0.000
Pr 0.000 0.000 6.448
In 2.208 2.303 -3.224
In 2.208 -2.303 3.224
Te 4.415 4.366 -3.230
Te 4.415 -0.240 3.230
Te 2.215 2.303 -0.028
Te 6.615 2.303 -0.028
Te -2.200 2.303 6.476
Te 2.200 2.303 6.476
Te 0.000 4.845 3.218
Te 0.000 0.240 9.678
```


The following is a GGA-PBE calculation of an optimized crystal structure of Na4Pr3InTe8, from Alexandria via LeMat-Bulk.

The calculation puts the raw formation energy at -1.105 eV/atom.

extended XYZ file:
```
16
Lattice="4.530 2.615 7.593 -4.530 2.615 7.593 0.000 -5.230 7.593" Properties=species:S:1:pos:R:3 pbc="T T T"
Na 0.000 0.000 0.000
Na -2.265 -1.308 7.593
Na -2.265 1.308 15.187
Na 0.000 2.615 7.593
Pr -4.530 0.000 11.390
Pr -2.265 1.308 3.797
Pr 2.265 1.308 3.797
In 0.000 0.000 11.390
Te 0.000 0.000 5.630
Te -2.182 -1.260 13.183
Te 0.000 -2.520 9.597
Te -2.182 1.260 9.597
Te 2.182 -1.260 13.183
Te 0.000 2.520 13.183
Te 2.182 1.260 9.597
Te 0.000 0.000 17.150
```


The following is a GGA-PBE calculation of an optimized crystal structure of NaPrTlIn, from Alexandria via LeMat-Bulk.

As for the energy of formation from the pure elements: -0.2871 eV per atom.

extended XYZ file:
```
4
Lattice="0.000 3.843 3.843 3.843 0.000 3.843 3.843 3.843 0.000" Properties=species:S:1:pos:R:3 pbc="T T T"
Na 0.000 0.000 0.000
Pr 3.843 3.843 3.843
Tl 1.921 1.921 1.921
In 5.764 5.764 5.764
```


The following is a GGA-PBE calculation of an optimized crystal structure of NaPrTmIn, from Alexandria via LeMat-Bulk.

As for the energy of formation from the pure elements: -0.1260 eV per atom.

extended XYZ file:
```
4
Lattice="0.000 3.864 3.864 3.864 0.000 3.864 3.864 3.864 0.000" Properties=species:S:1:pos:R:3 pbc="T T T"
Na 0.000 0.000 0.000
Pr 1.932 1.932 1.932
Tm 5.795 5.795 5.795
In 3.864 3.864 3.864
```


The following is a GGA-PBE calculation of an optimized crystal structure of Na3In9Pt2, from Alexandria via LeMat-Bulk.

As for the energy of formation from the pure elements: -0.1861 eV per atom.

extended XYZ file:
```
14
Lattice="-2.315 5.656 6.809 2.315 -5.656 6.809 2.315 5.656 -6.809" Properties=species:S:1:pos:R:3 pbc="T T T"
Na 0.000 0.000 0.000
Na 0.000 0.000 4.450
Na 0.000 0.000 9.169
In 2.315 -1.476 2.330
In 2.315 -2.444 5.181
In 2.315 1.476 2.330
In 0.000 3.212 1.628
In 0.000 5.656 0.000
In 2.315 2.444 5.181
In 0.000 4.180 4.480
In 0.000 8.100 1.628
In 0.000 7.132 4.480
Pt 2.315 2.973 0.000
Pt 0.000 2.683 6.809
```


The following is a GGA-PBE calculation of an optimized crystal structure of Na5In2Pt, from Alexandria via LeMat-Bulk.

As for the energy of formation from the pure elements: -0.1364 eV per atom.

extended XYZ file:
```
16
Lattice="6.864 0.000 0.000 0.000 13.648 0.000 0.000 0.000 4.282" Properties=species:S:1:pos:R:3 pbc="T T T"
Na 0.000 0.000 0.000
Na 0.330 3.504 0.000
Na 1.551 11.965 2.141
Na 1.881 5.141 2.141
Na 3.102 10.328 0.000
Na 3.432 6.824 0.000
Na 3.762 3.320 0.000
Na 4.983 8.507 2.141
Na 5.313 1.683 2.141
Na 6.534 10.144 0.000
In 1.258 8.194 2.141
In 2.174 1.370 2.141
In 4.690 12.278 2.141
In 5.606 5.454 2.141
Pt 0.000 6.824 0.000
Pt 3.432 0.000 0.000
```


The following is a GGA-PBE calculation of an optimized crystal structure of Na3In4Pt4, from Alexandria via LeMat-Bulk.

As for the energy of formation from the pure elements: -0.3701 eV per atom.

extended XYZ file:
```
11
Lattice="-4.090 4.090 4.090 4.090 -4.090 4.090 4.090 4.090 -4.090" Properties=species:S:1:pos:R:3 pbc="T T T"
Na 4.090 0.000 0.000
Na 0.000 4.090 0.000
Na 0.000 0.000 4.090
In 1.602 1.602 -1.602
In 1.602 -1.602 1.602
In -1.602 1.602 1.602
In 2.487 2.487 2.487
Pt 3.078 3.078 -3.078
Pt 3.078 -3.078 3.078
Pt 1.012 1.012 1.012
Pt -3.078 3.078 3.078
```


The following is a GGA-PBE calculation of an optimized crystal structure of Na2In6Pt, from Alexandria via LeMat-Bulk.

As for the energy of formation from the pure elements: -0.1891 eV per atom.

extended XYZ file:
```
9
Lattice="5.850 -3.375 0.000 5.850 3.375 0.000 -0.008 0.000 5.909" Properties=species:S:1:pos:R:3 pbc="T T T"
Na 1.948 0.000 1.114
Na 9.745 0.000 4.795
In 4.817 1.783 1.798
In 3.782 0.000 4.109
In 6.875 1.783 4.111
In 4.817 -1.783 1.798
In 7.910 0.000 1.800
In 6.875 -1.783 4.111
Pt 5.850 0.000 0.000
```


The following is a GGA-PBE calculation of an optimized crystal structure of Na12In6Pt, from Alexandria via LeMat-Bulk.

As for the energy of formation from the pure elements: -0.1344 eV per atom.

extended XYZ file:
```
19
Lattice="5.600 3.233 4.915 -5.600 3.233 4.915 0.000 -6.467 4.915" Properties=species:S:1:pos:R:3 pbc="T T T"
Na -1.619 -4.907 6.177
Na -5.059 -1.052 8.567
Na -1.277 -1.434 4.657
Na -3.440 3.855 6.177
Na -0.603 1.823 4.657
Na 1.880 -0.390 4.657
Na -1.880 0.390 10.087
Na 0.603 -1.823 10.087
Na 3.440 -3.855 8.567
Na 1.277 1.434 10.087
Na 5.059 1.052 6.177
Na 1.619 4.907 8.567
In -2.757 0.669 6.784
In -1.958 -2.053 7.960
In 0.799 -2.722 6.784
In -0.799 2.722 7.960
In 1.958 2.053 6.784
In 2.757 -0.669 7.960
Pt 0.000 0.000 7.372
```


The following is a GGA-PBE calculation of an optimized crystal structure of NaIn3Pt, from Alexandria via LeMat-Bulk.

As for the energy of formation from the pure elements: -0.3208 eV per atom.

extended XYZ file:
```
20
Lattice="8.989 0.000 0.000 0.000 4.426 0.000 0.000 0.000 12.255" Properties=species:S:1:pos:R:3 pbc="T T T"
Na 1.696 1.107 0.107
Na 2.799 3.320 6.235
Na 6.190 1.107 6.021
Na 7.293 3.320 12.148
In 0.569 1.107 5.122
In 0.861 3.320 2.422
In 1.395 3.320 9.645
In 3.099 1.107 3.517
In 3.634 1.107 8.550
In 3.925 3.320 11.250
In 5.064 1.107 1.005
In 5.355 3.320 3.706
In 5.890 3.320 8.739
In 7.593 1.107 2.611
In 8.128 1.107 9.834
In 8.420 3.320 7.133
Pt 1.028 1.107 7.848
Pt 3.466 3.320 1.721
Pt 5.523 1.107 10.535
Pt 7.961 3.320 4.407
```


The following is a GGA-PBE calculation of an optimized crystal structure of Na3In7Pt4, from Alexandria via LeMat-Bulk.

As for the energy of formation from the pure elements: -0.3686 eV per atom.

extended XYZ file:
```
14
Lattice="8.497 -2.258 0.000 8.497 2.258 0.000 -5.375 0.000 8.344" Properties=species:S:1:pos:R:3 pbc="T T T"
Na 0.000 0.000 0.000
Na 3.616 0.000 2.507
Na 8.003 0.000 5.838
In -2.688 0.000 4.172
In 0.456 0.000 3.622
In 0.085 0.000 8.014
In 7.021 0.000 2.263
In 4.598 0.000 6.081
In 11.533 0.000 0.331
In 11.163 0.000 4.723
Pt -2.479 0.000 6.952
Pt 1.878 0.000 5.989
Pt 9.741 0.000 2.355
Pt 14.097 0.000 1.392
```


The following is a GGA-PBE calculation of an optimized crystal structure of NaIn8Pt2, from Alexandria via LeMat-Bulk.

As for the energy of formation from the pure elements: -0.2210 eV per atom.

extended XYZ file:
```
11
Lattice="4.391 -6.005 0.000 4.391 6.005 0.000 -0.949 0.000 5.135" Properties=species:S:1:pos:R:3 pbc="T T T"
Na 0.000 0.000 0.000
In 1.242 1.508 3.130
In 4.391 2.851 0.000
In 1.242 -1.508 3.130
In 3.167 0.000 1.040
In 4.665 0.000 4.095
In 6.590 1.508 2.005
In 4.391 -2.851 0.000
In 6.590 -1.508 2.005
Pt 3.916 2.330 2.567
Pt 3.916 -2.330 2.567
```


The following is a GGA-PBE calculation of an optimized crystal structure of Na3InPt, from Alexandria via LeMat-Bulk.

As for the energy of formation from the pure elements: 0.7400 eV per atom.

extended XYZ file:
```
5
Lattice="5.548 0.000 0.000 0.000 5.548 0.000 0.000 0.000 5.548" Properties=species:S:1:pos:R:3 pbc="T T T"
Na 0.000 0.000 2.774
Na 0.000 2.774 0.000
Na 2.774 0.000 0.000
In 0.000 0.000 0.000
Pt 2.774 2.774 2.774
```


The following is a GGA-PBE calculation of an optimized crystal structure of NaIn3Pt, from Alexandria via LeMat-Bulk.

As for the energy of formation from the pure elements: -0.2120 eV per atom.

extended XYZ file:
```
20
Lattice="8.224 0.000 0.000 0.000 10.547 0.000 0.000 0.000 5.259" Properties=species:S:1:pos:R:3 pbc="T T T"
Na 1.187 2.637 0.627
Na 2.925 7.910 3.257
Na 5.298 2.637 2.003
Na 7.037 7.910 4.632
In 0.175 7.910 2.038
In 1.391 5.997 5.199
In 1.391 9.824 5.199
In 2.721 0.723 2.570
In 2.721 4.551 2.570
In 3.937 2.637 4.667
In 4.287 7.910 0.592
In 5.502 5.997 2.690
In 5.502 9.824 2.690
In 6.833 0.723 0.060
In 6.833 4.551 0.060
In 8.048 2.637 3.222
Pt 0.000 0.000 2.630
Pt 0.000 5.274 2.630
Pt 4.112 0.000 0.000
Pt 4.112 5.274 0.000
```


The following is a GGA-PBE calculation of an optimized crystal structure of NaIn3Pt, from Alexandria via LeMat-Bulk.

As for the energy of formation from the pure elements: -0.1814 eV per atom.

extended XYZ file:
```
5
Lattice="5.248 0.000 0.000 0.000 5.248 0.000 0.000 0.000 5.248" Properties=species:S:1:pos:R:3 pbc="T T T"
Na 0.000 0.000 0.000
In 0.000 2.624 2.624
In 2.624 0.000 2.624
In 2.624 2.624 0.000
Pt 2.624 2.624 2.624
```


The following is a GGA-PBE calculation of an optimized crystal structure of Na2In4Pt, from Alexandria via LeMat-Bulk.

As for the energy of formation from the pure elements: -0.0689 eV per atom.

extended XYZ file:
```
7
Lattice="-2.582 2.582 8.110 2.582 -2.582 8.110 2.582 2.582 -8.110" Properties=species:S:1:pos:R:3 pbc="T T T"
Na 0.000 0.000 2.310
Na 0.000 0.000 13.909
In 2.582 0.000 0.000
In 0.000 0.000 5.346
In 0.000 2.582 0.000
In 0.000 0.000 10.873
Pt 0.000 0.000 8.110
```


The following is a GGA-PBE calculation of an optimized crystal structure of NaInPt2, from Alexandria via LeMat-Bulk.

As for the energy of formation from the pure elements: -0.1166 eV per atom.

extended XYZ file:
```
4
Lattice="1.529 0.883 9.199 -1.529 0.883 9.199 0.000 -1.765 9.199" Properties=species:S:1:pos:R:3 pbc="T T T"
Na 0.000 0.000 0.000
In 0.000 0.000 13.798
Pt 0.000 0.000 6.752
Pt 0.000 0.000 20.845
```


Number 1: size of the total moment 0.0 μB/cell. Number 2: size of the total moment 0.0 μB/cell. Number 3: size of the total moment 0.0 μB/cell. Number 4: size of the total moment 0.0 μB/cell. Number 5: size of the total moment 0.0 μB/cell. Number 6: size of the total moment 0.0 μB/cell. Number 7: size of the total moment 0.0 μB/cell. Number 8: size of the total moment 0.0 μB/cell. Number 9: size of the total moment 0.0 μB/cell. Number 10: size of the total moment 0.0 μB/cell. Number 11: size of the total moment 0.0 μB/cell. Number 12: size of the total moment 0.0 μB/cell. Number 13: size of the total moment 0.0 μB/cell. Number 14: size of the total moment 0.0 μB/cell. Number 15: size of the total moment 0.0 μB/cell. Number 16: size of the total moment 0.0 μB/cell. Number 17: size of the total moment 0.0 μB/cell. Number 18: size of the total moment 0.0 μB/cell. Number 19: size of the total moment 0.0 μB/cell. Number 20: size of the total moment 0.0 μB/cell.